Entry 1:
Compound: Mn2HgAu
Source: Alexandria
Functional: PBE
Structure: relaxed

Values from the calculation:
Crystal system: tetragonal
Spin magnetization (μB per formula unit): 7.1
Energy of formation (eV per atom): 0.207

Unit cell a=3.286 b=3.286 c=6.299 alpha=90.00 beta=90.00 gamma=90.00
Atoms (fractional coordinates):
Hg (0.500, 0.500, 0.768)
Mn (0.000, 0.000, 0.015)
Mn (0.500, 0.500, 0.247)
Au (0.000, 0.000, 0.469)

***

Entry 2:
Compound: Ca2TeO
Source: Alexandria
Functional: PBE
Structure: relaxed

Values from the calculation:
Crystal system: monoclinic
Energy relative to the elements, uncorrected (eV/f.u.): -8.77
Spin magnetization (μB per formula unit): 0.0
Polymorph energy (0 for the lowest one) (kJ per mole of atoms): 0.0

Unit cell a=6.563 b=7.901 c=7.545 alpha=90.00 beta=104.71 gamma=90.00
Atoms (fractional coordinates):
O (0.137, 0.335, 0.630)
O (0.363, 0.835, 0.370)
O (0.637, 0.165, 0.630)
O (0.863, 0.665, 0.370)
Ca (0.779, 0.388, 0.446)
Ca (0.279, 0.112, 0.446)
Ca (0.721, 0.888, 0.554)
Ca (0.458, 0.258, 0.841)
Ca (0.042, 0.758, 0.159)
Ca (0.221, 0.612, 0.554)
Ca (0.958, 0.242, 0.841)
Ca (0.542, 0.742, 0.159)
Te (0.300, 0.412, 0.180)
Te (0.700, 0.588, 0.820)
Te (0.200, 0.912, 0.820)
Te (0.800, 0.088, 0.180)

***

Entry 3:
Compound: LiMnTl2Cl6
Source: Alexandria
Functional: PBE
Structure: relaxed

Values from the calculation:
Crystal system: trigonal
Energy relative to the elements, uncorrected (eV/f.u.): -11.64
Spin magnetization (μB per formula unit): 4.0

Unit cell a=6.139 b=7.002 c=7.002 alpha=120.00 beta=90.00 gamma=90.00
Atoms (fractional coordinates):
Tl (0.803, 0.667, 0.333)
Tl (0.197, 0.333, 0.667)
Cl (0.770, 0.159, 0.841)
Cl (0.230, 0.841, 0.681)
Cl (0.230, 0.841, 0.159)
Cl (0.770, 0.159, 0.319)
Cl (0.230, 0.319, 0.159)
Cl (0.770, 0.681, 0.841)
Mn (0.000, 0.000, 0.000)
Li (0.500, 0.000, 0.000)

***

Entry 4:
Compound: MgZn2Au
Source: Alexandria
Functional: PBE
Structure: relaxed

Values from the calculation:
Crystal system: tetragonal
Spin magnetization (μB per formula unit): 0.0
Energy of formation (eV per atom): -0.244

Unit cell a=3.969 b=3.967 c=4.232 alpha=90.00 beta=90.00 gamma=90.00
Atoms (fractional coordinates):
Zn (0.500, 0.500, 0.000)
Zn (0.000, 0.000, 0.000)
Au (0.500, 0.000, 0.500)
Mg (0.000, 0.500, 0.500)

***

Entry 5:
Compound: SmCu6Pt2
Source: Alexandria
Functional: PBE
Structure: relaxed

Values from the calculation:
Crystal system: orthorhombic
Spin magnetization (μB per formula unit): 0.0
Energy of formation (eV per atom): -0.117

Unit cell a=4.467 b=6.929 c=6.929 alpha=44.47 beta=71.19 gamma=71.19
Atoms (fractional coordinates):
Cu (0.500, 0.285, 0.715)
Cu (0.699, 0.544, 0.057)
Cu (0.301, 0.943, 0.456)
Cu (0.500, 0.715, 0.285)
Cu (0.301, 0.456, 0.943)
Cu (0.699, 0.057, 0.544)
Sm (0.000, 0.000, 0.000)
Pt (0.116, 0.384, 0.384)
Pt (0.884, 0.616, 0.616)

***

Entry 6:
Compound: Cu3TeAs
Source: Alexandria
Functional: PBE
Structure: relaxed

Values from the calculation:
Crystal system: cubic
Energy relative to the elements, uncorrected (eV/f.u.): 4.23
Spin magnetization (μB per formula unit): 1.6
Polymorph energy (0 for the lowest one) (kJ per mole of atoms): 43.3

Unit cell a=4.871 b=4.871 c=4.871 alpha=90.00 beta=90.00 gamma=90.00
Atoms (fractional coordinates):
As (0.500, 0.500, 0.500)
Te (0.000, 0.000, 0.000)
Cu (0.500, 0.000, 0.000)
Cu (0.000, 0.500, 0.000)
Cu (0.000, 0.000, 0.500)

***

Entry 7:
Compound: CeYHo
Source: Alexandria
Functional: PBE
Structure: relaxed

Values from the calculation:
Crystal system: monoclinic
Spin magnetization (μB per formula unit): 1.0
Polymorph energy (0 for the lowest one) (kJ per mole of atoms): 2.4
Energy of formation (eV per atom): 0.093

Unit cell a=5.364 b=3.471 c=10.175 alpha=99.83 beta=90.00 gamma=90.00
Atoms (fractional coordinates):
Ho (0.347, 0.038, 0.496)
Ho (0.847, 0.952, 0.328)
Ce (0.847, 0.786, 0.994)
Ce (0.347, 0.204, 0.830)
Y (0.347, 0.377, 0.177)
Y (0.847, 0.613, 0.647)

***

Entry 8:
Compound: Nd2DyThBi5
Source: Alexandria
Functional: PBE
Structure: relaxed

Values from the calculation:
Crystal system: tetragonal
Spin magnetization (μB per formula unit): 0.0
Energy of formation (eV per atom): 0.058

Unit cell a=5.748 b=5.748 c=11.917 alpha=90.00 beta=90.00 gamma=90.00
Atoms (fractional coordinates):
Nd (0.500, 0.500, 0.279)
Nd (0.500, 0.500, 0.721)
Th (0.000, 0.000, 0.500)
Bi (0.000, 0.000, 0.758)
Bi (0.500, 0.000, 0.500)
Bi (0.000, 0.500, 0.500)
Bi (0.000, 0.000, 0.242)
Bi (0.500, 0.500, 0.000)
Dy (0.000, 0.000, 0.000)

***

Entry 9:
Compound: Na3Mg2Tl3
Source: Alexandria
Functional: PBE
Structure: relaxed

Values from the calculation:
Crystal system: monoclinic
Spin magnetization (μB per formula unit): 0.0
Polymorph energy (0 for the lowest one) (kJ per mole of atoms): 1.1
Energy of formation (eV per atom): -0.076

Unit cell a=4.845 b=4.879 c=9.673 alpha=104.30 beta=104.50 gamma=90.00
Atoms (fractional coordinates):
Tl (0.858, 0.357, 0.717)
Tl (0.000, 0.000, 0.000)
Tl (0.142, 0.643, 0.283)
Mg (0.251, 0.250, 0.501)
Mg (0.749, 0.750, 0.499)
Na (0.375, 0.874, 0.750)
Na (0.625, 0.126, 0.250)
Na (0.500, 0.500, 0.000)

***

Entry 10:
Compound: LiPrSmEr
Source: Alexandria
Functional: PBE
Structure: relaxed

Values from the calculation:
Crystal system: cubic
Spin magnetization (μB per formula unit): 0.0
Energy of formation (eV per atom): 0.155

Unit cell a=5.569 b=5.569 c=5.569 alpha=60.00 beta=60.00 gamma=60.00
Atoms (fractional coordinates):
Pr (0.250, 0.250, 0.250)
Er (0.500, 0.500, 0.500)
Sm (0.750, 0.750, 0.750)
Li (0.000, 0.000, 0.000)

***

Entry 11:
Compound: Ag2TeI
Source: Alexandria
Functional: PBE
Structure: relaxed

Values from the calculation:
Crystal system: triclinic
Energy relative to the elements, uncorrected (eV/f.u.): -0.29
Spin magnetization (μB per formula unit): 0.0
Polymorph energy (0 for the lowest one) (kJ per mole of atoms): 5.4

Unit cell a=4.369 b=6.589 c=8.728 alpha=103.74 beta=93.24 gamma=102.76
Atoms (fractional coordinates):
I (0.530, 0.875, 0.377)
I (0.167, 0.380, 0.547)
Ag (0.915, 0.555, 0.299)
Ag (0.760, 0.711, 0.632)
Ag (0.375, 0.051, 0.702)
Ag (0.412, 0.636, 0.932)
Te (0.003, 0.925, 0.943)
Te (0.839, 0.375, 0.975)

***

Entry 12:
Compound: LaTbDy3
Source: Alexandria
Functional: PBE
Structure: relaxed

Values from the calculation:
Crystal system: triclinic
Spin magnetization (μB per formula unit): 0.0
Polymorph energy (0 for the lowest one) (kJ per mole of atoms): 0.0
Energy of formation (eV per atom): 0.188

Unit cell a=6.521 b=11.669 c=6.530 alpha=123.81 beta=119.94 gamma=90.21
Atoms (fractional coordinates):
Dy (0.128, 0.188, 0.677)
Dy (0.698, 0.187, 0.827)
Dy (0.872, 0.812, 0.323)
Dy (0.697, 0.545, 0.393)
Dy (0.302, 0.813, 0.173)
Dy (0.303, 0.455, 0.607)
Tb (0.452, 0.812, 0.752)
Tb (0.548, 0.188, 0.248)
La (0.000, 0.500, 0.000)
La (0.000, 0.000, 0.000)

***

Entry 13:
Compound: BaCrFe2
Source: Alexandria
Functional: PBE
Structure: relaxed

Values from the calculation:
Crystal system: tetragonal
Spin magnetization (μB per formula unit): 9.5
Polymorph energy (0 for the lowest one) (kJ per mole of atoms): 68.7
Energy of formation (eV per atom): 1.206

Unit cell a=5.137 b=5.137 c=5.137 alpha=128.58 beta=128.58 gamma=75.69
Atoms (fractional coordinates):
Fe (0.250, 0.750, 0.500)
Fe (0.000, 0.000, 0.000)
Cr (0.750, 0.250, 0.500)
Ba (0.500, 0.500, 0.000)

***

Entry 14:
Compound: BaNbTc2
Source: Alexandria
Functional: PBE
Structure: relaxed

Values from the calculation:
Crystal system: tetragonal
Spin magnetization (μB per formula unit): 0.0
Polymorph energy (0 for the lowest one) (kJ per mole of atoms): 7.2
Energy of formation (eV per atom): 1.030

Unit cell a=5.052 b=5.052 c=9.417 alpha=74.44 beta=74.44 gamma=90.00
Atoms (fractional coordinates):
Tc (0.375, 0.125, 0.250)
Tc (0.375, 0.625, 0.750)
Tc (0.375, 0.625, 0.250)
Tc (0.875, 0.625, 0.750)
Nb (0.500, 0.500, 0.000)
Nb (0.250, 0.750, 0.500)
Ba (0.750, 0.250, 0.500)
Ba (0.000, 0.000, 0.000)

***

Entry 15:
Compound: P2SeClF
Source: Alexandria
Functional: PBE
Structure: relaxed

Values from the calculation:
Crystal system: tetragonal
Energy relative to the elements, uncorrected (eV/f.u.): 3.66
Spin magnetization (μB per formula unit): 0.5
Polymorph energy (0 for the lowest one) (kJ per mole of atoms): 0.0

Unit cell a=4.160 b=4.160 c=5.471 alpha=90.00 beta=90.00 gamma=90.00
Atoms (fractional coordinates):
P (0.000, 0.500, 0.000)
P (0.500, 0.000, 0.000)
Cl (0.000, 0.000, 0.500)
Se (0.500, 0.500, 0.500)
F (0.000, 0.000, 0.000)

***

Entry 16:
Compound: TaGa5Co6
Source: Alexandria
Functional: PBE
Structure: relaxed

Values from the calculation:
Crystal system: orthorhombic
Spin magnetization (μB per formula unit): 0.0
Energy of formation (eV per atom): -0.293

Unit cell a=4.006 b=6.181 c=6.321 alpha=90.00 beta=71.52 gamma=90.00
Atoms (fractional coordinates):
Co (0.832, 0.252, 0.336)
Co (0.500, 0.255, 0.000)
Co (0.168, 0.252, 0.664)
Co (0.500, 0.745, 0.000)
Co (0.168, 0.748, 0.664)
Co (0.832, 0.748, 0.336)
Ga (0.666, 0.500, 0.669)
Ga (0.667, 0.000, 0.666)
Ga (0.000, 0.500, 0.000)
Ga (0.333, 0.000, 0.334)
Ga (0.334, 0.500, 0.331)
Ta (0.000, 0.000, 0.000)

***

Entry 17:
Compound: Er2TiSi4Pt3
Source: Alexandria
Functional: PBE
Structure: relaxed

Values from the calculation:
Crystal system: tetragonal
Energy relative to the elements, uncorrected (eV/f.u.): -10.16
Spin magnetization (μB per formula unit): 0.0

Unit cell a=4.083 b=4.083 c=10.476 alpha=90.00 beta=90.00 gamma=90.00
Atoms (fractional coordinates):
Pt (0.000, 0.500, 0.125)
Pt (0.500, 0.000, 0.875)
Pt (0.000, 0.000, 0.500)
Si (0.500, 0.500, 0.000)
Si (0.000, 0.500, 0.356)
Si (0.000, 0.000, 0.000)
Si (0.500, 0.000, 0.644)
Ti (0.500, 0.500, 0.500)
Er (0.500, 0.000, 0.247)
Er (0.000, 0.500, 0.753)

***

Entry 18:
Compound: Li3PrSm2S6
Source: Alexandria
Functional: PBE
Structure: relaxed

Values from the calculation:
Crystal system: monoclinic
Energy relative to the elements, uncorrected (eV/f.u.): -21.48
Spin magnetization (μB per formula unit): 0.0

Unit cell a=6.991 b=6.991 c=6.629 alpha=100.07 beta=100.07 gamma=120.04
Atoms (fractional coordinates):
Li (0.170, 0.830, 0.500)
Li (0.830, 0.170, 0.500)
Li (0.500, 0.500, 0.500)
Pr (0.000, 0.000, 0.000)
Sm (0.666, 0.334, 0.000)
Sm (0.334, 0.666, 0.000)
S (0.915, 0.577, 0.745)
S (0.423, 0.085, 0.255)
S (0.747, 0.747, 0.256)
S (0.253, 0.253, 0.744)
S (0.085, 0.423, 0.255)
S (0.577, 0.915, 0.745)

***

Entry 19:
Compound: La3Dy2Y3
Source: Alexandria
Functional: PBE
Structure: relaxed

Values from the calculation:
Crystal system: monoclinic
Spin magnetization (μB per formula unit): 0.0
Polymorph energy (0 for the lowest one) (kJ per mole of atoms): 4.9
Energy of formation (eV per atom): 0.084

Unit cell a=5.786 b=6.063 c=8.831 alpha=108.88 beta=109.12 gamma=90.00
Atoms (fractional coordinates):
La (0.500, 0.500, 0.000)
La (0.636, 0.197, 0.272)
La (0.364, 0.803, 0.728)
Y (0.134, 0.584, 0.268)
Y (0.000, 0.000, 0.000)
Y (0.866, 0.416, 0.732)
Dy (0.249, 0.181, 0.498)
Dy (0.751, 0.819, 0.502)

***

Entry 20:
Compound: CsNpAgSe2
Source: Alexandria
Functional: PBE
Structure: relaxed

Values from the calculation:
Crystal system: orthorhombic
Energy relative to the elements, uncorrected (eV/f.u.): -3.65
Spin magnetization (μB per formula unit): 5.0

Unit cell a=6.495 b=6.046 c=8.709 alpha=110.31 beta=90.00 gamma=90.00
Atoms (fractional coordinates):
Np (0.500, 0.750, 0.000)
Np (0.500, 0.250, 0.000)
Se (0.738, 0.882, 0.765)
Se (0.262, 0.382, 0.765)
Se (0.262, 0.118, 0.235)
Se (0.738, 0.618, 0.235)
Cs (0.231, 0.750, 0.500)
Cs (0.769, 0.250, 0.500)
Ag (0.000, 0.000, 0.000)
Ag (0.000, 0.500, 0.000)

***

Entry 21:
Compound: Cs9K3Rb2
Source: Alexandria
Functional: PBE
Structure: relaxed

Values from the calculation:
Crystal system: orthorhombic
Spin magnetization (μB per formula unit): 0.0
Energy of formation (eV per atom): 0.029

Unit cell a=8.437 b=22.852 c=14.330 alpha=142.87 beta=107.12 gamma=90.00
Atoms (fractional coordinates):
Cs (0.667, 0.065, 0.334)
Cs (0.667, 0.269, 0.334)
Cs (0.333, 0.731, 0.666)
Cs (0.843, 0.629, 0.686)
Cs (0.157, 0.944, 0.314)
Cs (0.157, 0.371, 0.314)
Cs (0.333, 0.935, 0.666)
Cs (0.843, 0.056, 0.686)
Cs (0.000, 0.500, 0.000)
K (0.000, 0.000, 0.000)
K (0.308, 0.308, 0.615)
K (0.692, 0.692, 0.385)
Rb (0.500, 0.328, 0.000)
Rb (0.500, 0.672, 0.000)

***

Entry 22:
Compound: Zn6Pd2Pt
Source: Alexandria
Functional: PBE
Structure: relaxed

Values from the calculation:
Crystal system: monoclinic
Spin magnetization (μB per formula unit): 0.0
Polymorph energy (0 for the lowest one) (kJ per mole of atoms): 14.6
Energy of formation (eV per atom): -0.277

Unit cell a=4.271 b=5.796 c=7.430 alpha=112.96 beta=108.22 gamma=90.00
Atoms (fractional coordinates):
Pd (0.674, 0.668, 0.336)
Pd (0.326, 0.332, 0.664)
Zn (0.828, 0.084, 0.668)
Zn (0.172, 0.416, 0.332)
Zn (0.500, 0.252, 0.000)
Zn (0.828, 0.584, 0.668)
Zn (0.500, 0.748, 0.000)
Zn (0.172, 0.916, 0.332)
Pt (0.000, 0.000, 0.000)

***

Entry 23:
Compound: Na5ThO5
Source: Alexandria
Functional: PBE
Structure: relaxed

Values from the calculation:
Crystal system: monoclinic
Energy relative to the elements, uncorrected (eV/f.u.): -21.52
Spin magnetization (μB per formula unit): 1.0

Unit cell a=4.714 b=6.140 c=6.798 alpha=107.13 beta=90.00 gamma=112.57
Atoms (fractional coordinates):
Th (0.000, 0.000, 0.000)
O (0.143, 0.285, 0.830)
O (0.500, 0.000, 0.000)
O (0.846, 0.693, 0.685)
O (0.857, 0.715, 0.170)
O (0.154, 0.307, 0.315)
Na (0.298, 0.595, 0.664)
Na (0.683, 0.365, 0.857)
Na (0.702, 0.405, 0.336)
Na (0.317, 0.635, 0.143)
Na (0.000, 0.000, 0.500)

***

Entry 24:
Compound: NpGaIr
Source: Alexandria
Functional: PBE
Structure: relaxed

Values from the calculation:
Crystal system: tetragonal
Spin magnetization (μB per formula unit): 3.7
Energy of formation (eV per atom): -0.276

Unit cell a=3.026 b=3.026 c=6.252 alpha=104.01 beta=104.01 gamma=90.00
Atoms (fractional coordinates):
Ir (0.682, 0.682, 0.364)
Ga (0.311, 0.311, 0.623)
Np (0.007, 0.007, 0.014)